# 1
## NaSrNb (GGA-PBE)

Data for crystalline NaSrNb at its relaxed geometry.

Summary:
raw total energy	-3.80	eV/atom
E above lowest polymorph	293.2	meV per atom
magnetic moment	0.0	Bohr magnetons per cell

a = 3.5053 Å, b = 6.9803 Å, c = 8.6050 Å
α = 66.51°, β = 78.35°, γ = 75.49°
With the nearest neighbours (Å) after each atom.
Atoms (fractional coordinates):
Na (0.2012, 0.4315, 0.1662)  4 Na 3.14-3.51, 2 Nb 3.29, 2 Sr 3.48-3.49
Na (0.7988, 0.5685, 0.8338)  4 Na 3.14-3.51, 2 Nb 3.29, 2 Sr 3.48-3.49
Sr (0.5000, 0.0000, 0.0000)  2 Sr 3.51, 2 Na 3.67, 4 Nb 3.72
Sr (0.5000, 0.5000, 0.5000)  4 Na 3.48-3.49, 2 Sr 3.51, 6 Nb 3.65-3.78
Nb (0.1961, 0.9922, 0.6125)  2 Nb 2.55-2.56
Nb (0.8039, 0.0078, 0.3875)  2 Nb 2.55-2.56

---

# 2
## NaSrNb (GGA-PBE)

Data for crystalline NaSrNb at its relaxed geometry.

Summary:
raw total energy	-4.09	eV/atom
E above lowest polymorph	0.0	meV per atom
magnetic moment	0.0	Bohr magnetons per cell

a = 3.6433 Å, b = 3.6433 Å, c = 14.9922 Å
α = 90.00°, β = 90.00°, γ = 90.00°
With the nearest neighbours (Å) after each atom.
Atoms (fractional coordinates):
Na (0.2500, 0.2500, 0.0937)  8 Na 3.64-3.81
Na (0.7500, 0.7500, 0.9063)  8 Na 3.64-3.81
Sr (0.2500, 0.2500, 0.6944)  5 Nb 3.42-3.53, 4 Sr 3.64
Sr (0.7500, 0.7500, 0.3056)  5 Nb 3.42-3.53, 4 Sr 3.64
Nb (0.2500, 0.2500, 0.4664)  4 Nb 2.77
Nb (0.7500, 0.7500, 0.5336)  4 Nb 2.77

---

# 3
## NaSrNb (GGA-PBE)

Data for crystalline NaSrNb at its relaxed geometry.

Summary:
raw total energy	-3.78	eV/atom
E above lowest polymorph	310.3	meV per atom
magnetic moment	0.0	Bohr magnetons per cell

a = 3.4490 Å, b = 6.9888 Å, c = 8.9104 Å
α = 107.68°, β = 93.01°, γ = 101.56°
With the nearest neighbours (Å) after each atom.
Atoms (fractional coordinates):
Na (0.0000, 0.0000, 0.0000)  4 Na 3.45-3.84, 4 Nb 3.52-3.61, 1 Sr 3.54
Na (0.2782, 0.6148, 0.1418)  3 Nb 3.34-3.52, 3 Na 3.45-3.57
Sr (0.6815, 0.2826, 0.4107)  3 Nb 3.45-3.55, 3 Sr 3.45-3.81
Sr (0.9382, 0.8688, 0.5824)  4 Nb 3.43-3.53, 3 Sr 3.45-3.81, 1 Na 3.54
Nb (0.3077, 0.5565, 0.7562)  1 Nb 2.37
Nb (0.6290, 0.3103, 0.8089)  1 Nb 2.37

---

# 4
## NaSrNb (GGA-PBE)

Data for crystalline NaSrNb at its relaxed geometry.

Summary:
raw total energy	-3.75	eV/atom
E above lowest polymorph	335.3	meV per atom
magnetic moment	0.0	Bohr magnetons per cell

a = 4.8488 Å, b = 6.8161 Å, c = 6.8189 Å
α = 79.84°, β = 69.95°, γ = 69.92°
With the nearest neighbours (Å) after each atom.
Atoms (fractional coordinates):
Na (0.0000, 0.0000, 0.0000)  2 Na 3.11-3.18, 2 Nb 3.29-3.46, 1 Sr 3.44
Na (0.2828, 0.2134, 0.2151)  2 Na 3.11-3.18, 2 Nb 3.28-3.47, 1 Sr 3.43
Sr (0.5817, 0.2295, 0.5992)  4 Na 3.43-3.76, 4 Nb 3.54-3.83
Sr (0.7010, 0.6149, 0.9850)  4 Na 3.44-3.77, 4 Nb 3.55-3.84
Nb (0.3120, 0.7814, 0.5200)  1 Nb 2.21
Nb (0.9709, 0.6948, 0.4328)  1 Nb 2.21

---

# 5
## NaSrNb (GGA-PBE)

Data for crystalline NaSrNb at its relaxed geometry.

Summary:
raw total energy	-2.99	eV/atom
E above lowest polymorph	1104.8	meV per atom
magnetic moment	20.0	Bohr magnetons per cell

a = 7.9419 Å, b = 7.9419 Å, c = 7.9419 Å
α = 90.00°, β = 90.00°, γ = 90.00°
With the nearest neighbours (Å) after each atom.
Atoms (fractional coordinates):
Na (0.0000, 0.0000, 0.0000)  4 Nb 3.44
Na (0.0000, 0.5000, 0.5000)  4 Nb 3.44
Na (0.5000, 0.0000, 0.5000)  4 Nb 3.44
Na (0.5000, 0.5000, 0.0000)  4 Nb 3.44
Sr (0.0000, 0.0000, 0.5000)  4 Nb 3.44
Sr (0.0000, 0.5000, 0.0000)  4 Nb 3.44
Sr (0.5000, 0.0000, 0.0000)  4 Nb 3.44
Sr (0.5000, 0.5000, 0.5000)  4 Nb 3.44
Nb (0.2500, 0.2500, 0.7500)  4 Na 3.44, 4 Sr 3.44
Nb (0.2500, 0.7500, 0.2500)  4 Na 3.44, 4 Sr 3.44
Nb (0.7500, 0.2500, 0.2500)  4 Na 3.44, 4 Sr 3.44
Nb (0.7500, 0.7500, 0.7500)  4 Sr 3.44, 4 Na 3.44

---

# 6
## NaSrNb (GGA-PBE)

Data for crystalline NaSrNb at its relaxed geometry.

Summary:
raw total energy	-3.74	eV/atom
E above lowest polymorph	345.9	meV per atom
magnetic moment	0.0	Bohr magnetons per cell

a = 4.6054 Å, b = 6.7900 Å, c = 7.0664 Å
α = 90.68°, β = 91.53°, γ = 109.14°
With the nearest neighbours (Å) after each atom.
Atoms (fractional coordinates):
Na (0.0000, 0.0000, 0.0000)  2 Na 3.27-3.30, 3 Nb 3.29-3.35, 3 Sr 3.54-3.64
Na (0.4339, 0.8294, 0.2894)  3 Nb 3.22-3.40, 2 Na 3.27-3.30
Sr (0.1600, 0.2508, 0.5464)  4 Nb 3.51-3.72, 2 Na 3.63-3.93
Sr (0.7403, 0.4504, 0.0360)  3 Nb 3.41-3.75, 5 Na 3.54-3.77
Nb (0.3656, 0.7594, 0.7386)  1 Nb 2.24
Nb (0.8910, 0.6933, 0.6121)  1 Nb 2.24

---

# 7
## NaSrNb (GGA-PBE)

Data for crystalline NaSrNb at its relaxed geometry.

Summary:
raw total energy	-2.19	eV/atom
E above lowest polymorph	1901.9	meV per atom
magnetic moment	10.5	Bohr magnetons per cell

a = 6.1626 Å, b = 6.1626 Å, c = 12.6097 Å
α = 90.00°, β = 90.00°, γ = 120.00°
With the nearest neighbours (Å) after each atom.
Atoms (fractional coordinates):
Na (0.3333, 0.6667, 0.2500)  3 Sr 3.56
Na (0.6667, 0.3333, 0.7500)  3 Sr 3.56
Sr (0.0000, 0.0000, 0.2500)  2 Nb 3.15
Sr (0.0000, 0.0000, 0.7500)  2 Nb 3.15
Nb (0.0000, 0.0000, 0.0000)  2 Sr 3.15
Nb (0.0000, 0.0000, 0.5000)  2 Sr 3.15

---

# 8
## NaSr2Nb (GGA-PBE)

Data for crystalline NaSr2Nb at its relaxed geometry.

Summary:
raw total energy	-2.72	eV/atom
E above lowest polymorph	259.8	meV per atom
magnetic moment	16.0	Bohr magnetons per cell

a = 9.1122 Å, b = 9.1122 Å, c = 7.3510 Å
α = 90.00°, β = 90.00°, γ = 90.00°
With the nearest neighbours (Å) after each atom.
Atoms (fractional coordinates):
Na (0.0000, 0.0000, 0.0000)  4 Sr 3.38, 2 Nb 3.68
Na (0.0000, 0.5000, 0.2500)  4 Sr 3.38, 2 Nb 3.68
Na (0.5000, 0.0000, 0.7500)  4 Sr 3.38, 2 Nb 3.68
Na (0.5000, 0.5000, 0.5000)  4 Sr 3.38, 2 Nb 3.68
Sr (0.2456, 0.7500, 0.6250)  2 Nb 3.32, 2 Na 3.38, 2 Sr 3.68
Sr (0.2500, 0.2456, 0.3750)  2 Nb 3.32, 2 Na 3.38, 2 Sr 3.68
Sr (0.2500, 0.2544, 0.8750)  2 Nb 3.32, 2 Na 3.38, 2 Sr 3.68
Sr (0.2544, 0.7500, 0.1250)  2 Nb 3.32, 2 Na 3.38, 2 Sr 3.68
Sr (0.7456, 0.2500, 0.1250)  2 Nb 3.32, 2 Na 3.38, 2 Sr 3.68
Sr (0.7500, 0.7456, 0.8750)  2 Nb 3.32, 2 Na 3.38, 2 Sr 3.68
Sr (0.7500, 0.7544, 0.3750)  2 Nb 3.32, 2 Na 3.38, 2 Sr 3.68
Sr (0.7544, 0.2500, 0.6250)  2 Nb 3.32, 2 Na 3.38, 2 Sr 3.68
Nb (0.0000, 0.0000, 0.5000)  4 Sr 3.32, 2 Na 3.68
Nb (0.0000, 0.5000, 0.7500)  4 Sr 3.32, 2 Na 3.68
Nb (0.5000, 0.0000, 0.2500)  4 Sr 3.32, 2 Na 3.68
Nb (0.5000, 0.5000, 0.0000)  4 Sr 3.32, 2 Na 3.68

---

# 9
## NaSrNb (GGA-PBE)

Data for crystalline NaSrNb at its relaxed geometry.

Summary:
raw total energy	-3.04	eV/atom
E above lowest polymorph	1052.8	meV per atom
magnetic moment	0.0	Bohr magnetons per cell

a = 4.0070 Å, b = 4.0070 Å, c = 11.7987 Å
α = 90.00°, β = 90.00°, γ = 90.00°
With the nearest neighbours (Å) after each atom.
Atoms (fractional coordinates):
Na (0.2500, 0.2500, 0.2246)  1 Nb 3.10
Na (0.7500, 0.7500, 0.7754)  1 Nb 3.10
Sr (0.2500, 0.7500, 0.5000)  4 Sr 2.83
Sr (0.7500, 0.2500, 0.5000)  4 Sr 2.83
Nb (0.2500, 0.2500, 0.9619)  4 Nb 2.97, 1 Na 3.10
Nb (0.7500, 0.7500, 0.0381)  4 Nb 2.97, 1 Na 3.10

---

# 10
## NaSrNb (GGA-PBE)

Data for crystalline NaSrNb at its relaxed geometry.

Summary:
raw total energy	-3.92	eV/atom
E above lowest polymorph	171.2	meV per atom
magnetic moment	0.0	Bohr magnetons per cell

a = 3.3877 Å, b = 4.5377 Å, c = 13.3744 Å
α = 90.41°, β = 95.66°, γ = 95.14°
With the nearest neighbours (Å) after each atom.
Atoms (fractional coordinates):
Na (0.2113, 0.2458, 0.4153)  6 Na 3.39-3.73
Na (0.7887, 0.7542, 0.5847)  6 Na 3.39-3.73
Sr (0.3713, 0.2660, 0.8012)  4 Nb 3.32-3.54, 2 Sr 3.39
Sr (0.6287, 0.7340, 0.1988)  4 Nb 3.32-3.54, 2 Sr 3.39
Nb (0.1087, 0.7590, 0.9755)  2 Nb 2.47-2.51
Nb (0.8913, 0.2410, 0.0245)  2 Nb 2.47-2.51

---

no.,formation enthalpy at 0 K (meV/atom)
1,560
2,267
3,577
4,602
5,1371
6,613
7,2169
8,966
9,1319
10,438